No. 1
A relaxed structure of Tc2TeOs, computed with PBE-GGA.

a = 4.605 Å, b = 4.605 Å, c = 3.027 Å
α = 90.00°, β = 90.00°, γ = 89.98°
Fractional positions:
Os: 0.000 0.500 0.500
Tc: 0.000 0.000 0.000
Tc: 0.500 0.500 0.000
Te: 0.500 0.000 0.500

Results
E_form (uncorrected), kJ/mol of atoms: 51.3
Energy above the most stable polymorph in this dataset, kJ/mol of atoms: 10.7
Symmetry: No. 123
Fermi-level density of states, states/eV/atom: 0.93
Electronic total energy, eV/atom: -8.24


No. 2
A relaxed structure of In3CuAs2Se2, computed with PBE-GGA.

a = 4.294 Å, b = 4.294 Å, c = 11.950 Å
α = 90.00°, β = 90.00°, γ = 90.00°
Fractional positions:
In: 0.500 0.500 0.763
In: 0.000 0.000 0.500
In: 0.500 0.500 0.237
Cu: 0.000 0.000 0.000
As: 0.000 0.500 0.632
As: 0.500 0.000 0.368
Se: 0.000 0.500 0.103
Se: 0.500 0.000 0.897

Results
E_form (uncorrected), kJ/mol of atoms: -32.1
Symmetry: No. 115
Fermi-level density of states, states/eV/atom: 0.16
Electronic total energy, eV/atom: -3.91


No. 3
A relaxed structure of AcCuGe2Pd5, computed with PBE-GGA.

a = 4.859 Å, b = 4.859 Å, c = 7.232 Å
α = 90.00°, β = 90.00°, γ = 90.00°
Fractional positions:
Ac: 0.000 0.000 0.500
Cu: 0.000 0.000 0.000
Ge: 0.500 0.500 0.164
Ge: 0.500 0.500 0.836
Pd: 0.000 0.500 0.203
Pd: 0.500 0.000 0.203
Pd: 0.000 0.500 0.797
Pd: 0.500 0.000 0.797
Pd: 0.500 0.500 0.500

Results
Symmetry: No. 123
Energy relative to the elements, eV per atom: -0.381
Fermi-level density of states, states/eV/atom: 0.37
Electronic total energy, eV/atom: -5.20


No. 4
A relaxed structure of LiSbSeF2, computed with PBE-GGA.

a = 4.244 Å, b = 6.401 Å, c = 4.244 Å
α = 90.00°, β = 90.00°, γ = 90.00°
Last column: magnetic moment on the atom in μB.
Fractional positions:
Sb: 0.000 0.000 0.000  -0.07
Li: 0.000 0.500 0.000  -0.01
Se: 0.500 0.500 0.500  0.41
F: 0.000 0.000 0.500  -0.02
F: 0.500 0.000 0.000  -0.01

Results
E_form (uncorrected), kJ/mol of atoms: -106.0
Symmetry: No. 123
Fermi-level density of states, states/eV/atom: 0.51
Electronic total energy, eV/atom: -3.75